The following is a PBEsol calculation of a geometry-optimized Si7Ni4Au2 structure, from Alexandria.

For the size of the total moment, the calculation gives 0.000 Bohr magnetons per cell. Its total energy is -6.02 eV/atom. The energy relative to the elements, uncorrected comes out at -0.43 eV/atom. Its density of states at the Fermi level is 0.153 states/eV per atom.

The space group is C2/m (No. 12) and the conventional cell measures 12.7196, 3.7429 and 7.9480 Å, with angles of 90.00, 110.03 and 90.00 degrees. The inequivalent atoms are Si at (0.0000, 0.0000, 0.0000), Si at (0.0047, 0.0000, 0.3351), Si at (0.1552, 0.5000, 0.7603), Si at (0.1653, 0.5000, 0.4228), Ni at (0.0055, 0.5000, 0.1674), Ni at (0.1555, 0.0000, 0.5882) and Au at (0.1936, 0.5000, 0.0933).